## Be6Ni5Pd (PBE)

Data for a geometry-optimized Be6Ni5Pd structure.

## Properties
Crystal system = monoclinic
Formation enthalpy at 0 K = -5.68 eV/f.u.

Cell: 3.7150 5.4117 5.8768 Å, 90.00 108.35 90.00°
Fractional coordinates of all 12 atoms:
Be1 0.0000 0.2353 0.0000
Be2 0.0000 0.7647 0.0000
Be3 0.3287 0.2419 0.6578
Be4 0.3287 0.7581 0.6578
Be5 0.6713 0.2419 0.3422
Be6 0.6713 0.7581 0.3422
Ni1 0.1665 0.0000 0.3325
Ni2 0.1697 0.5000 0.3398
Ni3 0.5000 0.0000 0.0000
Ni4 0.8303 0.5000 0.6602
Ni5 0.8335 0.0000 0.6675
Pd1 0.5000 0.5000 0.0000

***

## PmPr4Dy2Er (PBE)

Data for a geometry-optimized PmPr4Dy2Er structure.

## Properties
Crystal system = orthorhombic
Formation enthalpy at 0 K = 0.10 eV/f.u.

Cell: 5.1548 5.1890 10.1657 Å, 90.00 90.00 90.00°
Fractional coordinates of all 8 atoms:
Pm1 0.0000 0.0000 0.0000
Pr1 0.0000 0.5000 0.2522
Pr2 0.0000 0.5000 0.7478
Pr3 0.5000 0.0000 0.2525
Pr4 0.5000 0.0000 0.7475
Dy1 0.0000 0.0000 0.5000
Dy2 0.5000 0.5000 0.0000
Er1 0.5000 0.5000 0.5000

***

## AlTlPt2 (PBE)

Data for a geometry-optimized AlTlPt2 structure.

## Properties
Crystal system = monoclinic
Relative energy among the computed polymorphs = 26.60 kJ/mol of atoms
Formation enthalpy at 0 K = -1.01 eV/f.u.

Cell: 4.4862 4.4862 3.4897 Å, 90.11 90.11 99.16°
Fractional coordinates of all 4 atoms:
Al1 0.0000 0.0000 0.0000
Tl1 0.5000 0.5000 0.0000
Pt1 0.0000 0.5000 0.5000
Pt2 0.5000 0.0000 0.5000

***

## Tb5Mg4Al4 (PBE)

Data for a geometry-optimized Tb5Mg4Al4 structure.

## Properties
Crystal system = tetragonal
Formation enthalpy at 0 K = -3.09 eV/f.u.

Cell: 8.7784 8.7784 8.7784 Å, 93.81 93.81 150.11°
Fractional coordinates of all 13 atoms:
Tb1 0.0000 0.0000 0.0000
Tb2 0.3025 0.3749 0.6774
Tb3 0.3749 0.6975 0.0725
Tb4 0.6251 0.3025 0.9275
Tb5 0.6975 0.6251 0.3226
Mg1 0.1073 0.5842 0.6915
Mg2 0.4158 0.1073 0.5232
Mg3 0.5842 0.8927 0.4768
Mg4 0.8927 0.4158 0.3085
Al1 0.0641 0.2498 0.3139
Al2 0.2498 0.9359 0.1857
Al3 0.7502 0.0641 0.8143
Al4 0.9359 0.7502 0.6861